# 1
An optimized crystal structure of GeHPt3, computed with GGA-PBE.

Summary:
M_tot: 0.000 Bohr magnetons per cell
E: -5.205 eV per atom
Symmetry: Pm-3m, No. 221
ΔE to the lowest computed polymorph: 193.3 meV per atom

a = 4.062 Å, b = 4.062 Å, c = 4.062 Å
α = 90.00°, β = 90.00°, γ = 90.00°
Positions (direct):
Ge 0.000 0.000 0.000
H 0.500 0.500 0.500
Pt 0.000 0.500 0.500
Pt 0.500 0.000 0.500
Pt 0.500 0.500 0.000



# 2
An optimized crystal structure of YNi2Se, computed with GGA-PBE.

Summary:
M_tot: 0.000 Bohr magnetons per cell
E: -5.752 eV per atom
Symmetry: C2/m, No. 12
Formation energy (no corrections): -0.37 eV/atom

a = 5.104 Å, b = 5.104 Å, c = 4.255 Å
α = 114.21°, β = 114.21°, γ = 42.13°
Positions (direct):
Y 0.000 0.000 0.000
Ni 0.236 0.236 0.736
Ni 0.764 0.764 0.264
Se 0.500 0.500 0.500



# 3
An optimized crystal structure of Dy6BiAs2P3, computed with GGA-PBE.

Summary:
M_tot: 0.000 Bohr magnetons per cell
E: -6.180 eV per atom
Symmetry: C2/m, No. 12
DFT formation energy: -1.428 eV/atom

a = 9.224 Å, b = 9.224 Å, c = 8.291 Å
α = 103.21°, β = 103.21°, γ = 25.65°
Positions (direct):
Dy 0.001 0.001 0.228
Dy 0.325 0.325 0.416
Dy 0.333 0.333 0.913
Dy 0.667 0.667 0.087
Dy 0.675 0.675 0.584
Dy 0.999 0.999 0.772
Bi 0.500 0.500 0.500
As 0.167 0.167 0.834
As 0.833 0.833 0.166
P 0.166 0.166 0.332
P 0.500 0.500 0.000
P 0.834 0.834 0.668



# 4
An optimized crystal structure of Ce4SbTe2I, computed with GGA-PBE.

Summary:
M_tot: 4.482 Bohr magnetons per cell
E: -5.612 eV per atom
Symmetry: P2/m, No. 10
Formation energy (no corrections): -1.15 eV/atom

a = 7.687 Å, b = 4.530 Å, c = 7.853 Å
α = 90.00°, β = 109.82°, γ = 90.00°
Positions (direct):
Ce 0.242 0.000 0.245
Ce 0.245 0.500 0.751
Ce 0.755 0.500 0.249
Ce 0.758 0.000 0.755
Sb 0.000 0.000 0.500
Te 0.000 0.500 0.000
Te 0.500 0.000 0.000
I 0.500 0.500 0.500



# 5
An optimized crystal structure of AlCrCoBr2, computed with GGA-PBE.

Summary:
M_tot: 6.693 Bohr magnetons per cell
E: -3.971 eV per atom
Symmetry: P4/mmm, No. 123
Formation energy (no corrections): 0.79 eV/atom

a = 5.327 Å, b = 5.327 Å, c = 4.616 Å
α = 90.00°, β = 90.00°, γ = 90.00°
Positions (direct):
Al 0.000 0.000 0.000
Cr 0.500 0.500 0.500
Co 0.000 0.000 0.500
Br 0.000 0.500 0.000
Br 0.500 0.000 0.000



# 6
An optimized crystal structure of Na5Sn2Pt, computed with GGA-PBE.

Summary:
M_tot: 0.000 Bohr magnetons per cell
E: -2.771 eV per atom
Symmetry: Pbam, No. 55
DFT formation energy: -0.191 eV/atom

a = 6.701 Å, b = 13.486 Å, c = 4.384 Å
α = 90.00°, β = 90.00°, γ = 90.00°
Positions (direct):
Na 0.000 0.000 0.000
Na 0.050 0.264 0.000
Na 0.207 0.872 0.500
Na 0.293 0.372 0.500
Na 0.450 0.764 0.000
Na 0.500 0.500 0.000
Na 0.550 0.236 0.000
Na 0.707 0.628 0.500
Na 0.793 0.128 0.500
Na 0.950 0.736 0.000
Sn 0.180 0.596 0.500
Sn 0.320 0.096 0.500
Sn 0.680 0.904 0.500
Sn 0.820 0.404 0.500
Pt 0.000 0.500 0.000
Pt 0.500 0.000 0.000